# 1
Below is a PBEsol-optimized structure of Ti, with properties calculated at the meta-GGA SCAN level.

Calculated values
- DOS(E_F) (states/eV/f.u.) = 1.559
- total magnetization (μB per formula unit) = 0.0
- DFT formation energy (eV per atom) = 0.082
- polymorph energy (0 for the lowest one) (meV/atom) = 82

Geometry as CIF:
```
data_Ti
_chemical_formula_sum 'Ti1'
_cell_length_a 2.863
_cell_length_b 2.863
_cell_length_c 2.863
_cell_angle_alpha 60.00
_cell_angle_beta 60.00
_cell_angle_gamma 60.00
_symmetry_space_group_name_H-M 'P 1'
_symmetry_Int_Tables_number 1
loop_
_symmetry_equiv_pos_as_xyz
'x,y,z'
loop_
_atom_site_label
_atom_site_fract_x
_atom_site_fract_y
_atom_site_fract_z
Ti1 0.000 0.000 0.000
```

***

# 2
Below is a PBEsol-optimized structure of Ti, with properties calculated at the meta-GGA SCAN level.

Calculated values
- DOS(E_F) (states/eV/f.u.) = 0.709
- total magnetization (μB per formula unit) = 0.0
- DFT formation energy (eV per atom) = 0.000
- polymorph energy (0 for the lowest one) (meV/atom) = 0

Geometry as CIF:
```
data_Ti
_chemical_formula_sum 'Ti3'
_cell_length_a 4.509
_cell_length_b 4.509
_cell_length_c 2.794
_cell_angle_alpha 90.00
_cell_angle_beta 90.00
_cell_angle_gamma 120.00
_symmetry_space_group_name_H-M 'P 1'
_symmetry_Int_Tables_number 1
loop_
_symmetry_equiv_pos_as_xyz
'x,y,z'
loop_
_atom_site_label
_atom_site_fract_x
_atom_site_fract_y
_atom_site_fract_z
Ti1 0.000 0.000 0.000
Ti2 0.333 0.667 0.500
Ti3 0.667 0.333 0.500
```

***

# 3
Below is a PBEsol-optimized structure of Ti, with properties calculated at the meta-GGA SCAN level.

Calculated values
- DOS(E_F) (states/eV/f.u.) = 0.763
- total magnetization (μB per formula unit) = 0.0
- DFT formation energy (eV per atom) = 0.016
- polymorph energy (0 for the lowest one) (meV/atom) = 16

Geometry as CIF:
```
data_Ti
_chemical_formula_sum 'Ti2'
_cell_length_a 2.897
_cell_length_b 2.897
_cell_length_c 4.584
_cell_angle_alpha 90.00
_cell_angle_beta 90.00
_cell_angle_gamma 120.00
_symmetry_space_group_name_H-M 'P 1'
_symmetry_Int_Tables_number 1
loop_
_symmetry_equiv_pos_as_xyz
'x,y,z'
loop_
_atom_site_label
_atom_site_fract_x
_atom_site_fract_y
_atom_site_fract_z
Ti1 0.333 0.667 0.750
Ti2 0.667 0.333 0.250
```

***

# 4
Below is a PBEsol-optimized structure of Ti3Tl, with properties calculated at the meta-GGA SCAN level.

Calculated values
- DOS(E_F) (states/eV/f.u.) = 2.650
- total magnetization (μB per formula unit) = 0.0
- DFT formation energy (eV per atom) = -0.127

Geometry as CIF:
```
data_Ti3Tl
_chemical_formula_sum 'Ti3 Tl1'
_cell_length_a 4.014
_cell_length_b 4.014
_cell_length_c 5.197
_cell_angle_alpha 112.72
_cell_angle_beta 112.72
_cell_angle_gamma 90.00
_symmetry_space_group_name_H-M 'P 1'
_symmetry_Int_Tables_number 1
loop_
_symmetry_equiv_pos_as_xyz
'x,y,z'
loop_
_atom_site_label
_atom_site_fract_x
_atom_site_fract_y
_atom_site_fract_z
Tl1 0.000 0.000 0.000
Ti1 0.250 0.750 0.500
Ti2 0.750 0.250 0.500
Ti3 0.500 0.500 0.000
```

***

# 5
Below is a PBEsol-optimized structure of Y2TiTl, with properties calculated at the meta-GGA SCAN level.

Calculated values
- DOS(E_F) (states/eV/f.u.) = 2.753
- total magnetization (μB per formula unit) = 3.5
- DFT formation energy (eV per atom) = -0.247

Geometry as CIF:
```
data_Y2TiTl
_chemical_formula_sum 'Y2 Ti1 Tl1'
_cell_length_a 5.193
_cell_length_b 5.193
_cell_length_c 5.193
_cell_angle_alpha 60.00
_cell_angle_beta 60.00
_cell_angle_gamma 60.00
_symmetry_space_group_name_H-M 'P 1'
_symmetry_Int_Tables_number 1
loop_
_symmetry_equiv_pos_as_xyz
'x,y,z'
loop_
_atom_site_label
_atom_site_fract_x
_atom_site_fract_y
_atom_site_fract_z
Y1 0.250 0.250 0.250
Y2 0.750 0.750 0.750
Tl1 0.500 0.500 0.500
Ti1 0.000 0.000 0.000
```

***

# 6
Below is a PBEsol-optimized structure of U2Ti, with properties calculated at the meta-GGA SCAN level.

Calculated values
- DOS(E_F) (states/eV/f.u.) = 4.565
- total magnetization (μB per formula unit) = 0.0
- DFT formation energy (eV per atom) = -0.131

Geometry as CIF:
```
data_U2Ti
_chemical_formula_sum 'U2 Ti1'
_cell_length_a 4.696
_cell_length_b 4.696
_cell_length_c 2.756
_cell_angle_alpha 90.00
_cell_angle_beta 90.00
_cell_angle_gamma 120.00
_symmetry_space_group_name_H-M 'P 1'
_symmetry_Int_Tables_number 1
loop_
_symmetry_equiv_pos_as_xyz
'x,y,z'
loop_
_atom_site_label
_atom_site_fract_x
_atom_site_fract_y
_atom_site_fract_z
U1 0.667 0.333 0.500
U2 0.333 0.667 0.500
Ti1 0.000 0.000 0.000
```

***

# 7
Below is a PBEsol-optimized structure of YTi3W, with properties calculated at the meta-GGA SCAN level.

Calculated values
- DOS(E_F) (states/eV/f.u.) = 5.880
- total magnetization (μB per formula unit) = 0.0
- DFT formation energy (eV per atom) = 1.967

Geometry as CIF:
```
data_YTi3W
_chemical_formula_sum 'Y1 Ti3 W1'
_cell_length_a 4.541
_cell_length_b 4.541
_cell_length_c 4.541
_cell_angle_alpha 90.00
_cell_angle_beta 90.00
_cell_angle_gamma 90.00
_symmetry_space_group_name_H-M 'P 1'
_symmetry_Int_Tables_number 1
loop_
_symmetry_equiv_pos_as_xyz
'x,y,z'
loop_
_atom_site_label
_atom_site_fract_x
_atom_site_fract_y
_atom_site_fract_z
Y1 0.000 0.000 0.000
W1 0.500 0.500 0.500
Ti1 0.000 0.500 0.000
Ti2 0.000 0.000 0.500
Ti3 0.500 0.000 0.000
```

***

# 8
Below is a PBEsol-optimized structure of ZrTiW3, with properties calculated at the meta-GGA SCAN level.

Calculated values
- DOS(E_F) (states/eV/f.u.) = 4.066
- total magnetization (μB per formula unit) = 2.3
- DFT formation energy (eV per atom) = 2.491

Geometry as CIF:
```
data_ZrTiW3
_chemical_formula_sum 'Zr1 Ti1 W3'
_cell_length_a 4.684
_cell_length_b 4.684
_cell_length_c 4.684
_cell_angle_alpha 90.00
_cell_angle_beta 90.00
_cell_angle_gamma 90.00
_symmetry_space_group_name_H-M 'P 1'
_symmetry_Int_Tables_number 1
loop_
_symmetry_equiv_pos_as_xyz
'x,y,z'
loop_
_atom_site_label
_atom_site_fract_x
_atom_site_fract_y
_atom_site_fract_z
Zr1 0.000 0.000 0.000
W1 0.000 0.500 0.000
W2 0.000 0.000 0.500
W3 0.500 0.000 0.000
Ti1 0.500 0.500 0.500
```

***

# 9
Below is a PBEsol-optimized structure of Ti3Zn, with properties calculated at the meta-GGA SCAN level.

Calculated values
- DOS(E_F) (states/eV/f.u.) = 3.715
- total magnetization (μB per formula unit) = 0.0
- DFT formation energy (eV per atom) = -0.146

Geometry as CIF:
```
data_Ti3Zn
_chemical_formula_sum 'Ti3 Zn1'
_cell_length_a 3.889
_cell_length_b 3.889
_cell_length_c 4.941
_cell_angle_alpha 113.18
_cell_angle_beta 113.18
_cell_angle_gamma 90.00
_symmetry_space_group_name_H-M 'P 1'
_symmetry_Int_Tables_number 1
loop_
_symmetry_equiv_pos_as_xyz
'x,y,z'
loop_
_atom_site_label
_atom_site_fract_x
_atom_site_fract_y
_atom_site_fract_z
Zn1 0.000 0.000 0.000
Ti1 0.250 0.750 0.500
Ti2 0.750 0.250 0.500
Ti3 0.500 0.500 0.000
```

***

# 10
Below is a PBEsol-optimized structure of Ti3Zn, with properties calculated at the meta-GGA SCAN level.

Calculated values
- DOS(E_F) (states/eV/f.u.) = 4.382
- total magnetization (μB per formula unit) = 0.0
- DFT formation energy (eV per atom) = -0.155

Geometry as CIF:
```
data_Ti3Zn
_chemical_formula_sum 'Ti3 Zn1'
_cell_length_a 3.956
_cell_length_b 3.956
_cell_length_c 3.956
_cell_angle_alpha 90.00
_cell_angle_beta 90.00
_cell_angle_gamma 90.00
_symmetry_space_group_name_H-M 'P 1'
_symmetry_Int_Tables_number 1
loop_
_symmetry_equiv_pos_as_xyz
'x,y,z'
loop_
_atom_site_label
_atom_site_fract_x
_atom_site_fract_y
_atom_site_fract_z
Zn1 0.000 0.000 0.000
Ti1 0.000 0.500 0.500
Ti2 0.500 0.000 0.500
Ti3 0.500 0.500 0.000
```

***

# 11
Below is a PBEsol-optimized structure of Ti2Zn, with properties calculated at the meta-GGA SCAN level.

Calculated values
- DOS(E_F) (states/eV/f.u.) = 2.558
- total magnetization (μB per formula unit) = 0.0
- DFT formation energy (eV per atom) = -0.214

Geometry as CIF:
```
data_Ti2Zn
_chemical_formula_sum 'Ti2 Zn1'
_cell_length_a 2.964
_cell_length_b 2.964
_cell_length_c 5.738
_cell_angle_alpha 104.97
_cell_angle_beta 104.97
_cell_angle_gamma 90.00
_symmetry_space_group_name_H-M 'P 1'
_symmetry_Int_Tables_number 1
loop_
_symmetry_equiv_pos_as_xyz
'x,y,z'
loop_
_atom_site_label
_atom_site_fract_x
_atom_site_fract_y
_atom_site_fract_z
Zn1 0.000 0.000 0.000
Ti1 0.336 0.336 0.672
Ti2 0.664 0.664 0.328
```

***

# 12
Below is a PBEsol-optimized structure of ZrTi, with properties calculated at the meta-GGA SCAN level.

Calculated values
- DOS(E_F) (states/eV/f.u.) = 3.077
- total magnetization (μB per formula unit) = 0.0
- DFT formation energy (eV per atom) = 0.112

Geometry as CIF:
```
data_ZrTi
_chemical_formula_sum 'Zr1 Ti1'
_cell_length_a 3.049
_cell_length_b 3.049
_cell_length_c 4.172
_cell_angle_alpha 90.00
_cell_angle_beta 90.00
_cell_angle_gamma 90.00
_symmetry_space_group_name_H-M 'P 1'
_symmetry_Int_Tables_number 1
loop_
_symmetry_equiv_pos_as_xyz
'x,y,z'
loop_
_atom_site_label
_atom_site_fract_x
_atom_site_fract_y
_atom_site_fract_z
Zr1 0.500 0.500 0.500
Ti1 0.000 0.000 0.000
```

***

# 13
Below is a PBEsol-optimized structure of ZrTi, with properties calculated at the meta-GGA SCAN level.

Calculated values
- DOS(E_F) (states/eV/f.u.) = 1.566
- total magnetization (μB per formula unit) = 0.0
- DFT formation energy (eV per atom) = 0.099

Geometry as CIF:
```
data_ZrTi
_chemical_formula_sum 'Zr1 Ti1'
_cell_length_a 3.056
_cell_length_b 3.056
_cell_length_c 4.851
_cell_angle_alpha 90.00
_cell_angle_beta 90.00
_cell_angle_gamma 120.00
_symmetry_space_group_name_H-M 'P 1'
_symmetry_Int_Tables_number 1
loop_
_symmetry_equiv_pos_as_xyz
'x,y,z'
loop_
_atom_site_label
_atom_site_fract_x
_atom_site_fract_y
_atom_site_fract_z
Zr1 0.333 0.667 0.000
Ti1 0.667 0.333 0.500
```

***

# 14
Below is a PBEsol-optimized structure of Tm3Tl, with properties calculated at the meta-GGA SCAN level.

Calculated values
- DOS(E_F) (states/eV/f.u.) = 3.914
- total magnetization (μB per formula unit) = 1.3
- DFT formation energy (eV per atom) = -0.290

Geometry as CIF:
```
data_Tm3Tl
_chemical_formula_sum 'Tm6 Tl2'
_cell_length_a 5.445
_cell_length_b 6.656
_cell_length_c 6.656
_cell_angle_alpha 120.00
_cell_angle_beta 90.00
_cell_angle_gamma 90.00
_symmetry_space_group_name_H-M 'P 1'
_symmetry_Int_Tables_number 1
loop_
_symmetry_equiv_pos_as_xyz
'x,y,z'
loop_
_atom_site_label
_atom_site_fract_x
_atom_site_fract_y
_atom_site_fract_z
Tl1 0.750 0.333 0.667
Tl2 0.250 0.667 0.333
Tm1 0.250 0.661 0.831
Tm2 0.250 0.169 0.339
Tm3 0.250 0.169 0.831
Tm4 0.750 0.339 0.169
Tm5 0.750 0.831 0.661
Tm6 0.750 0.831 0.169
```